## Sm5Ga2Te2 (GGA-PBE)

Data for a relaxed Sm5Ga2Te2 crystal.

The structure in POSCAR format:
```
Sm5Ga2Te2
1.0
-5.405 5.459 -2.404
-5.987 -5.044 2.007
-2.843 5.772 6.024
Ga Sm Te
4 10 4
Direct
0.877 0.621 0.000
0.623 0.121 0.000
0.377 0.879 0.000
0.123 0.379 0.000
0.960 0.331 0.740
0.540 0.831 0.260
0.460 0.169 0.740
0.800 0.831 0.740
0.000 0.000 0.000
0.500 0.500 0.000
0.200 0.169 0.260
0.700 0.331 0.260
0.300 0.669 0.740
0.040 0.669 0.260
0.704 0.500 0.592
0.296 0.500 0.408
0.204 0.000 0.592
0.796 0.000 0.408
```

Calculated values
Mass density   7.463 Mg/m³
Total magnetization   0.02 μB per cell
Raw total energy   -4.93 eV/atom



## SmGaTe3 (GGA-PBE)

Data for a relaxed SmGaTe3 crystal.

The structure in POSCAR format:
```
SmGaTe3
1.0
-0.712 0.872 7.332
-3.137 -7.910 0.636
11.085 -4.269 1.585
Te Ga Sm
12 4 4
Direct
0.851 0.507 0.250
0.851 0.177 0.932
0.649 0.007 0.250
0.351 0.323 0.432
0.851 0.177 0.568
0.149 0.823 0.432
0.649 0.677 0.568
0.149 0.493 0.750
0.351 0.323 0.068
0.149 0.823 0.068
0.351 0.993 0.750
0.649 0.677 0.932
0.458 0.664 0.750
0.042 0.164 0.750
0.542 0.336 0.250
0.958 0.836 0.250
0.000 0.500 0.000
0.000 0.500 0.500
0.500 0.000 0.000
0.500 0.000 0.500
```

Calculated values
Mass density   5.279 Mg/m³
Total magnetization   0.00 μB per cell
Raw total energy   -4.16 eV/atom



## Sm6GaTe3 (GGA-PBE)

Data for a relaxed Sm6GaTe3 crystal.

The structure in POSCAR format:
```
Sm6GaTe3
1.0
4.111 0.000 0.000
0.000 12.323 0.438
0.000 -3.704 12.326
Sm Te Ga
12 6 2
Direct
0.250 0.592 0.896
0.750 0.491 0.646
0.250 0.064 0.874
0.750 0.408 0.104
0.750 0.757 0.296
0.750 0.796 0.754
0.750 0.108 0.459
0.250 0.243 0.704
0.250 0.204 0.246
0.250 0.892 0.541
0.250 0.509 0.354
0.750 0.936 0.126
0.750 0.396 0.856
0.250 0.324 0.493
0.750 0.676 0.507
0.250 0.604 0.144
0.750 0.154 0.057
0.250 0.846 0.943
0.250 0.959 0.312
0.750 0.041 0.688
```

Calculated values
Mass density   7.129 Mg/m³
Total magnetization   0.01 μB per cell
Raw total energy   -4.95 eV/atom



## Sm3GaTe6 (GGA-PBE)

Data for a relaxed Sm3GaTe6 crystal.

The structure in POSCAR format:
```
Sm3GaTe6
1.0
7.344 0.000 0.000
0.000 9.750 0.079
0.000 -2.099 9.522
Te Sm Ga
12 6 2
Direct
0.680 0.298 0.375
0.207 0.437 0.902
0.663 0.222 0.778
0.670 0.960 0.040
0.163 0.778 0.222
0.680 0.625 0.702
0.707 0.902 0.437
0.207 0.098 0.563
0.170 0.040 0.960
0.180 0.702 0.625
0.180 0.375 0.298
0.707 0.563 0.098
0.490 0.277 0.085
0.490 0.915 0.723
0.990 0.723 0.915
0.375 0.405 0.595
0.875 0.595 0.405
0.990 0.085 0.277
0.023 0.204 0.796
0.523 0.796 0.204
```

Calculated values
Mass density   6.255 Mg/m³
Total magnetization   0.00 μB per cell
Raw total energy   -4.74 eV/atom